[1]
DFT (PBE-GGA) results for a geometry-optimized KRuPt2 structure.

- Energy relative to the elements: 4.9 kcal/mol of atoms
- VASP energy: -5.40 eV/atom

Unit cell a=13.3855 b=4.4251 c=5.5558 alpha=90.00 beta=112.24 gamma=90.00
Fractional coordinates of all 16 atoms:
K: 0.0000 0.0000 0.0000
K: 0.1478 0.5000 0.1070
K: 0.5000 0.5000 0.0000
K: 0.6478 0.0000 0.1070
Ru: 0.3326 0.0000 0.5431
Ru: 0.3866 0.5000 0.4108
Ru: 0.8326 0.5000 0.5431
Ru: 0.8866 0.0000 0.4108
Pt: 0.0183 0.5000 0.4902
Pt: 0.1355 0.0000 0.6081
Pt: 0.2548 0.5000 0.7069
Pt: 0.3270 0.0000 0.0503
Pt: 0.5183 0.0000 0.4902
Pt: 0.6355 0.5000 0.6081
Pt: 0.7548 0.0000 0.7069
Pt: 0.8270 0.5000 0.0503

***

[2]
DFT (PBE-GGA) results for a geometry-optimized CaTaTi2Ga structure.

- Energy relative to the elements: 43.8 kcal/mol of atoms
- VASP energy: -4.64 eV/atom

Unit cell a=4.5181 b=4.5181 c=4.9940 alpha=90.00 beta=90.00 gamma=90.00
Fractional coordinates of all 5 atoms:
Ca: 0.0000 0.0000 0.0000
Ta: 0.0000 0.0000 0.5000
Ti: 0.0000 0.5000 0.0000
Ti: 0.5000 0.0000 0.0000
Ga: 0.5000 0.5000 0.5000

***

[3]
DFT (PBE-GGA) results for a geometry-optimized NaYZnFe2 structure.

- Energy relative to the elements: 19.8 kcal/mol of atoms
- VASP energy: -4.34 eV/atom

Unit cell a=4.6999 b=4.6999 c=5.2738 alpha=90.00 beta=90.00 gamma=90.00
Fractional coordinates of all 5 atoms:
Na: 0.0000 0.0000 0.0000
Y: 0.5000 0.5000 0.0000
Zn: 0.5000 0.5000 0.5000
Fe: 0.0000 0.5000 0.5000
Fe: 0.5000 0.0000 0.5000

***

[4]
DFT (PBE-GGA) results for a geometry-optimized YFe2Ru structure.

- Energy relative to the elements: 3.2 kcal/mol of atoms
- VASP energy: -8.03 eV/atom

Unit cell a=3.1346 b=3.1346 c=6.5744 alpha=90.00 beta=90.00 gamma=90.00
Fractional coordinates of all 4 atoms:
Y: 0.0000 0.0000 0.0000
Fe: 0.0000 0.0000 0.5085
Fe: 0.5000 0.5000 0.6946
Ru: 0.5000 0.5000 0.3062

***

The highest VASP energy belongs to which entry?
NaYZnFe2

***

Which of these has the highest VASP energy?
NaYZnFe2